Material: PmSi2IrPd
Method: DFT, PBE
State: relaxed

Lattice parameters (Å, degrees): 5.884 5.884 5.884 139.14 139.14 59.17
Element x y z (fractional)
Pm1 0.000 0.000 0.000
Si1 0.382 0.382 0.000
Si2 0.618 0.618 0.000
Ir1 0.250 0.750 0.500
Pd1 0.750 0.250 0.500

Properties
Density, kg/m³: 9610
Space group: No. 119
Final energy, eV per atom: -6.88
ΔE_f (raw), eV per atom: -0.948
M_tot, μB per atom: 0.0000